Entry 1:
Compound: TaCoW
Source: the Alexandria database
Functional: PBE
Structure: optimized geometry

Values from the calculation:
- excess energy over the best structure of this formula in the dataset (eV/atom) = 0.1306
- crystal system = orthorhombic
- formation energy (eV per atom) = 0.0170

abc: 3.558 4.193 11.957
angles: 90.00 90.00 90.00
Space group Fmm2 (No. 42)
One atom of each set of equivalent atoms:
Ta (0.000, 0.000, 0.000) (multiplicity 4)
Co (0.000, 0.000, 0.342) (multiplicity 4)
W (0.000, 0.000, 0.693) (multiplicity 4)

---

Entry 2:
Compound: Ba4LiSi
Source: the Alexandria database
Functional: PBE
Structure: optimized geometry

Values from the calculation:
- formation energy (no corrections) (eV/atom) = 0.569
- crystal system = cubic

abc: 10.209 10.209 10.209
angles: 90.00 90.00 90.00
Space group F-43m (No. 216)
One atom of each set of equivalent atoms:
Ba (0.123, 0.123, 0.377) (multiplicity 16)
Li (0.000, 0.000, 0.000) (multiplicity 4)
Si (0.250, 0.250, 0.750) (multiplicity 4)

---

Entry 3:
Compound: Sm2RuC
Source: the Alexandria database
Functional: PBE
Structure: optimized geometry

Values from the calculation:
- excess energy over the best structure of this formula in the dataset (eV/atom) = 0.1768
- crystal system = monoclinic
- formation energy (eV per atom) = 0.0015

abc: 5.381 3.609 8.317
angles: 90.00 102.07 90.00
Space group P2_1/m (No. 11)
One atom of each set of equivalent atoms:
Sm (0.223, 0.250, 0.431) (multiplicity 2)
Sm (0.265, 0.750, 0.082) (multiplicity 2)
Ru (0.306, 0.750, 0.740) (multiplicity 2)
C (0.162, 0.250, 0.780) (multiplicity 2)

---

Entry 4:
Compound: RbTcP2O
Source: the Alexandria database
Functional: PBE
Structure: optimized geometry

Values from the calculation:
- formation energy (no corrections) (eV/atom) = 2.310
- excess energy over the best structure of this formula in the dataset (eV/atom) = 2.4274
- crystal system = tetragonal

abc: 5.116 5.116 4.065
angles: 90.00 90.00 90.00
Space group P4/mmm (No. 123)
One atom of each set of equivalent atoms:
Rb (0.000, 0.000, 0.000) (multiplicity 1)
Tc (0.500, 0.500, 0.500) (multiplicity 1)
P (0.000, 0.500, 0.000) (multiplicity 2)
O (0.000, 0.000, 0.500) (multiplicity 1)

---

Entry 5:
Compound: AuClO
Source: the Alexandria database
Functional: PBE
Structure: optimized geometry

Values from the calculation:
- formation energy (no corrections) (eV/atom) = -0.019
- crystal system = triclinic

abc: 3.977 4.565 8.058
angles: 99.89 90.65 91.41
Space group P-1 (No. 2)
One atom of each set of equivalent atoms:
Au (0.250, 0.114, 0.371) (multiplicity 2)
Cl (0.253, 0.373, 0.155) (multiplicity 2)
O (0.247, 0.858, 0.563) (multiplicity 2)

---

Entry 6:
Compound: Pu5GeBi3
Source: the Alexandria database
Functional: PBE
Structure: optimized geometry

Values from the calculation:
- crystal system = hexagonal
- formation energy (eV per atom) = -0.3614

abc: 9.6183 9.6183 6.2480
angles: 90.00 90.00 120.00
Space group P6_3/mcm (No. 193)
One atom of each set of equivalent atoms:
Pu (0.0000, 0.2592, 0.2500) (multiplicity 6)
Pu (0.3333, 0.6667, 0.0000) (multiplicity 4)
Ge (0.0000, 0.0000, 0.0000) (multiplicity 2)
Bi (0.0000, 0.3842, 0.7500) (multiplicity 6)

---

Copy entry 2 word for word.
Compound: Ba4LiSi
Source: the Alexandria database
Functional: PBE
Structure: optimized geometry

Values from the calculation:
- formation energy (no corrections) (eV/atom) = 0.569
- crystal system = cubic

abc: 10.209 10.209 10.209
angles: 90.00 90.00 90.00
Space group F-43m (No. 216)
One atom of each set of equivalent atoms:
Ba (0.123, 0.123, 0.377) (multiplicity 16)
Li (0.000, 0.000, 0.000) (multiplicity 4)
Si (0.250, 0.250, 0.750) (multiplicity 4)